1.
First-principles (PBE) data for an optimized crystal structure of Ac3Pr2DyTe6, as listed in Alexandria via LeMat-Bulk.

a b c (Å): 10.301 10.301 9.282
angles (deg): 103.32 103.32 25.61
Fractional coordinates of all 12 atoms:
1 Ac 0.000 0.000 0.000
2 Ac 0.329 0.329 0.665
3 Ac 0.671 0.671 0.335
4 Pr 0.332 0.332 0.165
5 Pr 0.668 0.668 0.835
6 Dy 0.000 0.000 0.500
7 Te 0.158 0.158 0.587
8 Te 0.168 0.168 0.076
9 Te 0.499 0.499 0.267
10 Te 0.501 0.501 0.733
11 Te 0.832 0.832 0.924
12 Te 0.842 0.842 0.413

Summary:
D(E_F): 0.59 states/eV per atom
volume: 414 Å³/f.u.
energy: -62.56 eV/f.u.
space group: No. 12



2.
First-principles (PBE) data for an optimized crystal structure of Ac2Pr3DyTe6, as listed in Alexandria via LeMat-Bulk.

a b c (Å): 7.922 7.922 7.916
angles (deg): 99.61 99.61 120.12
Fractional coordinates of all 12 atoms:
1 Ac 0.165 0.835 0.000
2 Ac 0.835 0.165 0.000
3 Pr 0.000 0.000 0.500
4 Pr 0.321 0.679 0.500
5 Pr 0.679 0.321 0.500
6 Dy 0.500 0.500 0.000
7 Te 0.102 0.419 0.752
8 Te 0.272 0.272 0.261
9 Te 0.419 0.102 0.752
10 Te 0.581 0.898 0.248
11 Te 0.728 0.728 0.739
12 Te 0.898 0.581 0.248

Summary:
D(E_F): 0.57 states/eV per atom
volume: 405 Å³/f.u.
energy: -63.07 eV/f.u.
space group: No. 12



3.
First-principles (PBE) data for an optimized crystal structure of Ac3PrDy3Te8, as listed in Alexandria via LeMat-Bulk.

a b c (Å): 9.131 9.131 9.131
angles (deg): 58.85 58.85 58.85
Fractional coordinates of all 15 atoms:
1 Ac 0.000 0.500 0.500
2 Ac 0.500 0.000 0.500
3 Ac 0.500 0.500 0.000
4 Pr 0.500 0.500 0.500
5 Dy 0.000 0.000 0.500
6 Dy 0.000 0.500 0.000
7 Dy 0.500 0.000 0.000
8 Te 0.228 0.755 0.755
9 Te 0.241 0.241 0.241
10 Te 0.245 0.245 0.772
11 Te 0.245 0.772 0.245
12 Te 0.755 0.228 0.755
13 Te 0.755 0.755 0.228
14 Te 0.759 0.759 0.759
15 Te 0.772 0.245 0.245

Summary:
D(E_F): 0.50 states/eV per atom
volume: 524 Å³/f.u.
energy: -77.66 eV/f.u.
space group: No. 166



4.
First-principles (PBE) data for an optimized crystal structure of Ac3PrDy2Te6, as listed in Alexandria via LeMat-Bulk.

a b c (Å): 10.313 10.313 9.315
angles (deg): 105.31 105.31 25.15
Fractional coordinates of all 12 atoms:
1 Ac 0.000 0.000 0.000
2 Ac 0.337 0.337 0.669
3 Ac 0.663 0.663 0.331
4 Pr 0.000 0.000 0.500
5 Dy 0.334 0.334 0.169
6 Dy 0.666 0.666 0.831
7 Te 0.166 0.166 0.601
8 Te 0.173 0.173 0.068
9 Te 0.492 0.492 0.254
10 Te 0.508 0.508 0.746
11 Te 0.827 0.827 0.932
12 Te 0.834 0.834 0.399

Summary:
D(E_F): 0.52 states/eV per atom
volume: 405 Å³/f.u.
energy: -62.04 eV/f.u.
space group: No. 12



5.
First-principles (PBE) data for an optimized crystal structure of Ac2PrDyTe5, as listed in Alexandria via LeMat-Bulk.

a b c (Å): 5.504 5.504 11.878
angles (deg): 90.00 90.00 90.00
Fractional coordinates of all 9 atoms:
1 Ac 0.000 0.000 0.197
2 Ac 0.000 0.000 0.803
3 Pr 0.500 0.500 0.500
4 Dy 0.500 0.500 0.000
5 Te 0.000 0.000 0.500
6 Te 0.000 0.500 0.000
7 Te 0.500 0.000 0.000
8 Te 0.500 0.500 0.250
9 Te 0.500 0.500 0.750

Summary:
D(E_F): 0.77 states/eV per atom
volume: 360 Å³/f.u.
energy: -42.57 eV/f.u.
space group: No. 123



6.
First-principles (PBE) data for an optimized crystal structure of AcPrDyTe3, as listed in Alexandria via LeMat-Bulk.

a b c (Å): 8.793 4.632 10.697
angles (deg): 90.00 110.61 90.00
Fractional coordinates of all 12 atoms:
1 Ac 0.186 0.250 0.233
2 Ac 0.814 0.750 0.767
3 Pr 0.358 0.750 0.879
4 Pr 0.642 0.250 0.121
5 Dy 0.138 0.250 0.619
6 Dy 0.862 0.750 0.381
7 Te 0.106 0.250 0.897
8 Te 0.242 0.750 0.483
9 Te 0.456 0.750 0.208
10 Te 0.544 0.250 0.792
11 Te 0.758 0.250 0.517
12 Te 0.894 0.750 0.103

Summary:
D(E_F): 0.66 states/eV per atom
volume: 204 Å³/f.u.
energy: -30.69 eV/f.u.
space group: No. 11